1) A plane-wave DFT calculation with PBE was carried out for a relaxed La2YTm5 crystal.

The structure in CIF format:
```
data_La2YTm5
_space_group_name_H-M_alt 'C m c m'
_space_group_IT_number 63
_space_group_name_Hall '-C 2c 2'
_cell_length_a 5.6455
_cell_length_b 11.3341
_cell_length_c 16.5374
_cell_angle_alpha 90.00
_cell_angle_beta 90.00
_cell_angle_gamma 90.00
loop_
_atom_site_label
_atom_site_fract_x
_atom_site_fract_y
_atom_site_fract_z
_atom_site_occupancy
La1 0.0000 0.2217 0.1338 1
Y1 0.0000 0.2093 0.7500 1
Tm1 0.0000 0.0897 0.5718 1
Tm2 0.0000 0.3916 0.5579 1
Tm3 0.0000 0.4873 0.2500 1
```

=====

2) A plane-wave DFT calculation with PBE was carried out for a relaxed La2YTm5 crystal.

The structure in CIF format:
```
data_La2YTm5
_space_group_name_H-M_alt 'I 4/m m m'
_space_group_IT_number 139
_space_group_name_Hall '-I 4 2'
_cell_length_a 7.1585
_cell_length_b 7.1585
_cell_length_c 10.0332
_cell_angle_alpha 90.00
_cell_angle_beta 90.00
_cell_angle_gamma 90.00
loop_
_atom_site_label
_atom_site_fract_x
_atom_site_fract_y
_atom_site_fract_z
_atom_site_occupancy
La1 0.0000 0.5000 0.0000 1
Y1 0.0000 0.0000 0.0000 1
Tm1 0.0000 0.0000 0.5000 1
Tm2 0.2500 0.2500 0.2500 1
```

=====

Most stable one: 2), least stable one: 1).

=====

1) A plane-wave DFT calculation with PBE was carried out for a relaxed La2Y3Tm4 crystal.

The structure in CIF format:
```
data_La2Y3Tm4
_space_group_name_H-M_alt 'C 1 2/m 1'
_space_group_IT_number 12
_cell_length_a 15.1759
_cell_length_b 5.0655
_cell_length_c 7.9957
_cell_angle_alpha 90.00
_cell_angle_beta 108.37
_cell_angle_gamma 90.00
loop_
_space_group_symop_operation_xyz
'x,y,z'
'-x,-y,-z'
'-x,y,-z'
'x,-y,z'
'x+1/2,y+1/2,z'
'-x+1/2,-y+1/2,-z'
'-x+1/2,y+1/2,-z'
'x+1/2,-y+1/2,z'
loop_
_atom_site_label
_atom_site_fract_x
_atom_site_fract_y
_atom_site_fract_z
_atom_site_occupancy
La1 0.1657 0.0000 0.0008 1
Y1 0.0000 0.5000 0.0000 1
Y2 0.1101 0.5000 0.6624 1
Tm1 0.0575 0.0000 0.3398 1
Tm2 0.2221 0.5000 0.3388 1
```

=====

2) A plane-wave DFT calculation with PBE was carried out for a relaxed La2Y3Tm4 crystal.

The structure in CIF format:
```
data_La2Y3Tm4
_space_group_name_H-M_alt 'C 1 2/m 1'
_space_group_IT_number 12
_cell_length_a 11.8086
_cell_length_b 5.6667
_cell_length_c 9.1026
_cell_angle_alpha 90.00
_cell_angle_beta 104.53
_cell_angle_gamma 90.00
loop_
_space_group_symop_operation_xyz
'x,y,z'
'-x,-y,-z'
'-x,y,-z'
'x,-y,z'
'x+1/2,y+1/2,z'
'-x+1/2,-y+1/2,-z'
'-x+1/2,y+1/2,-z'
'x+1/2,-y+1/2,z'
loop_
_atom_site_label
_atom_site_fract_x
_atom_site_fract_y
_atom_site_fract_z
_atom_site_occupancy
La1 0.0715 0.0000 0.2904 1
Y1 0.0000 0.5000 0.0000 1
Y2 0.1111 0.5000 0.6836 1
Tm1 0.1820 0.0000 0.9652 1
Tm2 0.2291 0.5000 0.3633 1
```

=====

Most stable one: 1), least stable one: 2).

=====

1) A plane-wave DFT calculation with PBE was carried out for a relaxed La4Y3Tm crystal.

The structure in CIF format:
```
data_La4Y3Tm
_space_group_name_H-M_alt 'C 1 2/m 1'
_space_group_IT_number 12
_cell_length_a 24.9939
_cell_length_b 3.4552
_cell_length_c 6.3674
_cell_angle_alpha 90.00
_cell_angle_beta 91.81
_cell_angle_gamma 90.00
loop_
_space_group_symop_operation_xyz
'x,y,z'
'-x,-y,-z'
'-x,y,-z'
'x,-y,z'
'x+1/2,y+1/2,z'
'-x+1/2,-y+1/2,-z'
'-x+1/2,y+1/2,-z'
'x+1/2,-y+1/2,z'
loop_
_atom_site_label
_atom_site_fract_x
_atom_site_fract_y
_atom_site_fract_z
_atom_site_occupancy
La1 0.1066 0.0000 0.2414 1
La2 0.2210 0.5000 0.2503 1
Y1 0.0000 0.0000 0.5000 1
Y2 0.1382 0.0000 0.7478 1
Tm1 0.0000 0.5000 0.0000 1
```

=====

2) A plane-wave DFT calculation with PBE was carried out for a relaxed La4Y3Tm crystal.

The structure in CIF format:
```
data_La4Y3Tm
_space_group_name_H-M_alt 'C 1 2/m 1'
_space_group_IT_number 12
_cell_length_a 24.4023
_cell_length_b 3.6702
_cell_length_c 6.3125
_cell_angle_alpha 90.00
_cell_angle_beta 104.78
_cell_angle_gamma 90.00
loop_
_space_group_symop_operation_xyz
'x,y,z'
'-x,-y,-z'
'-x,y,-z'
'x,-y,z'
'x+1/2,y+1/2,z'
'-x+1/2,-y+1/2,-z'
'-x+1/2,y+1/2,-z'
'x+1/2,-y+1/2,z'
loop_
_atom_site_label
_atom_site_fract_x
_atom_site_fract_y
_atom_site_fract_z
_atom_site_occupancy
La1 0.1238 0.0000 0.4558 1
La2 0.2484 0.0000 0.2453 1
Y1 0.0000 0.5000 0.5000 1
Y2 0.1218 0.5000 0.9537 1
Tm1 0.0000 0.0000 0.0000 1
```

=====

Most stable one: 2), least stable one: 1).

=====

1) A plane-wave DFT calculation with PBE was carried out for a relaxed LaY3Tm7 crystal.

The structure in CIF format:
```
data_LaY3Tm7
_space_group_name_H-M_alt 'P 3 m 1'
_space_group_IT_number 156
_cell_length_a 7.0009
_cell_length_b 7.0009
_cell_length_c 8.6120
_cell_angle_alpha 90.00
_cell_angle_beta 90.00
_cell_angle_gamma 120.00
loop_
_space_group_symop_operation_xyz
'x,y,z'
'-y,x-y,z'
'-x+y,-x,z'
'-y,-x,z'
'-x+y,y,z'
'x,x-y,z'
loop_
_atom_site_label
_atom_site_fract_x
_atom_site_fract_y
_atom_site_fract_z
_atom_site_occupancy
La1 0.0000 0.0000 0.0000 1
Y1 0.1677 0.3353 0.6576 1
Tm1 0.0023 0.5011 0.9983 1
Tm2 0.3318 0.1659 0.3257 1
Tm3 0.3333 0.6667 0.3247 1
```

=====

2) A plane-wave DFT calculation with PBE was carried out for a relaxed LaY3Tm7 crystal.

The structure in CIF format:
```
data_LaY3Tm7
_space_group_name_H-M_alt 'P 1 2/m 1'
_space_group_IT_number 10
_cell_length_a 6.9302
_cell_length_b 5.5145
_cell_length_c 9.8415
_cell_angle_alpha 90.00
_cell_angle_beta 109.46
_cell_angle_gamma 90.00
loop_
_space_group_symop_operation_xyz
'x,y,z'
'-x,-y,-z'
'-x,y,-z'
'x,-y,z'
loop_
_atom_site_label
_atom_site_fract_x
_atom_site_fract_y
_atom_site_fract_z
_atom_site_occupancy
La1 0.0000 0.0000 0.0000 1
Y1 0.2757 0.5000 0.4950 1
Y2 0.5000 0.0000 0.0000 1
Tm1 0.0000 0.0000 0.5000 1
Tm2 0.1482 0.5000 0.7908 1
Tm3 0.3260 0.5000 0.1436 1
Tm4 0.4272 0.0000 0.3322 1
```

=====

Most stable one: 2), least stable one: 1).

=====

1) A plane-wave DFT calculation with PBE was carried out for a relaxed LaY2Tm2 crystal.

The structure in CIF format:
```
data_LaY2Tm2
_space_group_name_H-M_alt 'C 1 2/c 1'
_space_group_IT_number 15
_cell_length_a 8.6226
_cell_length_b 9.4722
_cell_length_c 8.7904
_cell_angle_alpha 90.00
_cell_angle_beta 110.75
_cell_angle_gamma 90.00
loop_
_space_group_symop_operation_xyz
'x,y,z'
'-x,-y,-z'
'-x,y,-z+1/2'
'x,-y,z+1/2'
'x+1/2,y+1/2,z'
'-x+1/2,-y+1/2,-z'
'-x+1/2,y+1/2,-z+1/2'
'x+1/2,-y+1/2,z+1/2'
loop_
_atom_site_label
_atom_site_fract_x
_atom_site_fract_y
_atom_site_fract_z
_atom_site_occupancy
La1 0.0000 0.2004 0.2500 1
Y1 0.1586 0.0937 0.6388 1
Tm1 0.0000 0.5000 0.0000 1
Tm2 0.2500 0.2500 0.0000 1
```

=====

2) A plane-wave DFT calculation with PBE was carried out for a relaxed LaY2Tm2 crystal.

The structure in CIF format:
```
data_LaY2Tm2
_space_group_name_H-M_alt 'P 1 2/m 1'
_space_group_IT_number 10
_cell_length_a 5.4858
_cell_length_b 3.6866
_cell_length_c 8.5355
_cell_angle_alpha 90.00
_cell_angle_beta 90.05
_cell_angle_gamma 90.00
loop_
_space_group_symop_operation_xyz
'x,y,z'
'-x,-y,-z'
'-x,y,-z'
'x,-y,z'
loop_
_atom_site_label
_atom_site_fract_x
_atom_site_fract_y
_atom_site_fract_z
_atom_site_occupancy
La1 0.0000 0.0000 0.0000 1
Y1 0.5002 0.5000 0.1870 1
Tm1 0.0000 0.5000 0.5000 1
Tm2 0.5000 0.0000 0.5000 1
```

=====

Most stable one: 1), least stable one: 2).

=====

1) A plane-wave DFT calculation with PBE was carried out for a relaxed La4Y4Tm3 crystal.

The structure in CIF format:
```
data_La4Y4Tm3
_space_group_name_H-M_alt 'I m m m'
_space_group_IT_number 71
_space_group_name_Hall '-I 2 2'
_cell_length_a 3.6256
_cell_length_b 9.4347
_cell_length_c 22.1885
_cell_angle_alpha 90.00
_cell_angle_beta 90.00
_cell_angle_gamma 90.00
loop_
_atom_site_label
_atom_site_fract_x
_atom_site_fract_y
_atom_site_fract_z
_atom_site_occupancy
La1 0.0000 0.1688 0.1428 1
Y1 0.0000 0.3163 0.0000 1
Y2 0.0000 0.5000 0.2350 1
Tm1 0.0000 0.0000 0.3952 1
Tm2 0.0000 0.5000 0.5000 1
```

=====

2) A plane-wave DFT calculation with PBE was carried out for a relaxed La4Y4Tm3 crystal.

The structure in CIF format:
```
data_La4Y4Tm3
_space_group_name_H-M_alt 'P -1'
_space_group_IT_number 2
_cell_length_a 3.5356
_cell_length_b 5.6975
_cell_length_c 18.4585
_cell_angle_alpha 98.86
_cell_angle_beta 95.49
_cell_angle_gamma 90.01
loop_
_space_group_symop_operation_xyz
'x,y,z'
'-x,-y,-z'
loop_
_atom_site_label
_atom_site_fract_x
_atom_site_fract_y
_atom_site_fract_z
_atom_site_occupancy
La1 0.0468 0.0478 0.0930 1
La2 0.1793 0.6789 0.3574 1
Y1 0.0910 0.5915 0.1810 1
Y2 0.2321 0.2323 0.4644 1
Tm1 0.3626 0.8629 0.7265 1
Tm2 0.5000 0.5000 0.0000 1
```

=====

Most stable one: 2), least stable one: 1).